{
  "formula": "RbLuFeTe3",
  "functional": "PBE",
  "state": "optimized geometry",
  "sg": "P2_1/m, No. 11",
  "e_tot_ev_per_atom": -4.74,
  "de_polymorph_mev_per_atom": 0.0,
  "m_tot_mub_per_cell": 7.36,
  "lattice": [[10.055, 0.000, 0.000], [0.000, 4.241, 0.000], [-3.857, 0.000, 9.695]],
  "species": ["Rb", "Rb", "Lu", "Lu", "Fe", "Fe", "Te", "Te", "Te", "Te", "Te", "Te"],
  "frac_coords": [[0.212, 0.250, 0.240], [0.788, 0.750, 0.760], [0.331, 0.750, 0.857], [0.669, 0.250, 0.143], [0.067, 0.250, 0.581], [0.933, 0.750, 0.419], [0.112, 0.250, 0.848], [0.213, 0.750, 0.539], [0.466, 0.750, 0.166], [0.534, 0.250, 0.834], [0.787, 0.250, 0.461], [0.888, 0.750, 0.152]]
}

***

{
  "formula": "AlCdPd",
  "functional": "PBE",
  "state": "optimized geometry",
  "sg": "F-43m, No. 216",
  "e_tot_ev_per_atom": -3.59,
  "de_polymorph_mev_per_atom": 0.0,
  "lattice": [[0.000, 3.095, 3.095], [3.095, 0.000, 3.095], [3.095, 3.095, 0.000]],
  "species": ["Al", "Cd", "Pd"],
  "frac_coords": [[0.000, 0.000, 0.000], [0.500, 0.500, 0.500], [0.750, 0.750, 0.750]]
}